Compound: K3SbSe3
Source: the Alexandria database
Functional: PBE
Structure: optimized geometry

```
K3SbSe3
1.0
6.771 0.000 0.000
0.000 8.592 -4.960
0.000 0.000 9.921
K Sb Se
6 2 6
direct
0.750 0.709 0.642
0.750 0.358 0.067
0.750 0.933 0.291
0.250 0.291 0.358
0.250 0.642 0.933
0.250 0.067 0.709
0.250 0.667 0.333
0.750 0.333 0.667
0.250 0.690 0.614
0.250 0.386 0.076
0.250 0.924 0.310
0.750 0.310 0.386
0.750 0.614 0.924
0.750 0.076 0.690
```

---

Compound: KSbSe2
Source: the Alexandria database
Functional: PBE
Structure: optimized geometry

```
KSbSe2
1.0
6.683 0.000 0.000
0.006 6.622 0.000
-1.526 0.011 12.503
Sb K Se
4 4 8
direct
0.041 0.799 0.121
0.959 0.201 0.879
0.459 0.799 0.379
0.541 0.201 0.621
0.516 0.738 0.880
0.484 0.262 0.120
0.985 0.738 0.620
0.015 0.262 0.380
0.515 0.189 0.386
0.485 0.811 0.614
0.984 0.189 0.114
0.016 0.811 0.886
0.932 0.229 0.645
0.068 0.771 0.355
0.568 0.229 0.855
0.432 0.771 0.145
```

---

Compound: KSbSe2
Source: the Alexandria database
Functional: PBE
Structure: optimized geometry

```
KSbSe2
1.0
4.030 -0.013 -0.004
0.010 4.277 -0.601
-2.097 -3.128 8.040
K Sb Se
1 1 2
direct
0.214 0.875 0.201
0.458 0.572 0.707
0.860 0.665 0.518
0.603 0.163 0.986
```

---

Compound: KSbSe2
Source: the Alexandria database
Functional: PBE
Structure: optimized geometry

```
KSbSe2
1.0
-5.825 -0.249 -1.136
-1.871 -0.008 5.637
2.867 3.628 -3.728
K Sb Se
1 1 2
direct
0.750 0.250 0.500
0.250 0.750 0.500
0.044 0.044 0.000
0.456 0.456 0.000
```

---

Compound: K8Sb2Se
Source: the Alexandria database
Functional: PBE
Structure: optimized geometry

```
K8Sb2Se
1.0
0.784 5.451 2.336
-0.862 3.237 -7.265
-8.942 -3.643 3.842
K Sb Se
8 2 1
direct
0.641 0.886 0.282
0.359 0.604 0.718
0.200 0.200 0.400
0.000 0.260 0.000
0.800 0.800 0.600
0.641 0.396 0.282
0.359 0.114 0.718
0.000 0.740 0.000
0.176 0.676 0.352
0.824 0.324 0.648
0.500 0.000 0.000
```

---

Compound: KSbSe2
Source: the Alexandria database
Functional: PBE
Structure: optimized geometry

```
KSbSe2
1.0
-2.185 5.128 -3.462
-5.135 3.668 -1.798
1.067 3.284 4.773
K Sb Se
1 1 2
direct
0.491 0.491 0.612
0.297 0.297 0.049
0.960 0.960 0.126
0.752 0.752 0.713
```

---

Compound: KSbSe3
Source: the Alexandria database
Functional: PBE
Structure: optimized geometry

```
KSbSe3
1.0
5.627 0.000 0.000
0.000 5.627 0.000
0.000 0.000 5.627
Sb K Se
1 1 3
direct
0.500 0.500 0.500
0.000 0.000 0.000
0.000 0.500 0.000
0.000 0.000 0.500
0.500 0.000 0.000
```

---

Compound: K5Sb2Se5
Source: the Alexandria database
Functional: PBE
Structure: optimized geometry

```
K5Sb2Se5
1.0
-0.580 -4.342 -2.252
6.926 2.572 -1.356
0.044 -5.957 11.472
K Sb Se
5 2 5
direct
0.500 0.000 0.500
0.657 0.314 0.049
0.745 0.490 0.353
0.255 0.510 0.647
0.343 0.686 0.951
0.047 0.095 0.791
0.953 0.905 0.209
0.105 0.210 0.393
0.648 0.296 0.784
0.352 0.704 0.216
0.895 0.790 0.607
0.000 0.000 0.000
```

---

Compound: K2SbSe3
Source: the Alexandria database
Functional: PBE
Structure: optimized geometry

```
K2SbSe3
1.0
7.375 0.014 0.010
0.882 7.889 0.316
0.882 2.875 7.353
K Sb Se
4 2 6
direct
0.681 0.186 0.502
0.181 0.502 0.186
0.819 0.498 0.814
0.319 0.814 0.498
0.750 0.923 0.077
0.250 0.077 0.923
0.250 0.370 0.630
0.750 0.630 0.370
0.019 0.876 0.829
0.481 0.171 0.124
0.519 0.829 0.876
0.981 0.124 0.171
```

---

Compound: K3SbSe
Source: the Alexandria database
Functional: PBE
Structure: optimized geometry

```
K3SbSe
1.0
-3.791 -4.131 -2.726
0.076 -3.481 5.171
-4.949 3.111 2.167
Sb K Se
1 3 1
direct
0.500 0.500 0.500
0.000 0.500 0.000
0.000 0.000 0.500
0.500 0.000 0.000
0.000 0.000 0.000
```

---

Compound: K2SbSe2
Source: the Alexandria database
Functional: PBE
Structure: optimized geometry

```
K2SbSe2
1.0
-2.875 -3.499 -4.778
0.719 -7.786 0.734
-7.298 -5.419 3.825
K Sb Se
4 2 4
direct
0.671 0.262 0.397
0.329 0.738 0.603
0.997 0.754 0.251
0.003 0.246 0.749
0.335 0.213 0.118
0.665 0.787 0.882
0.180 0.252 0.387
0.820 0.748 0.613
0.518 0.185 0.780
0.482 0.815 0.220
```

---

Compound: K2SbSe4
Source: the Alexandria database
Functional: PBE
Structure: optimized geometry

```
K2SbSe4
1.0
6.186 0.000 0.000
0.000 7.319 -1.013
0.000 -0.412 12.002
Sb K Se
2 4 8
direct
0.250 0.673 0.764
0.750 0.327 0.236
0.250 0.239 0.919
0.750 0.761 0.081
0.750 0.764 0.554
0.250 0.236 0.446
0.528 0.421 0.692
0.250 0.758 0.972
0.750 0.242 0.028
0.972 0.421 0.692
0.750 0.055 0.333
0.028 0.579 0.308
0.472 0.579 0.308
0.250 0.945 0.667
```

---

Record order is preserved below.
Formation energy without anion corrections: -0.7590; -0.7098; -0.5998; -0.3847; -0.5736; -0.5662; 0.9928; -0.8041; -0.7401; -0.4450; -0.7267; -0.6092 eV per atom